Record 1
A plane-wave DFT calculation with PBEsol was carried out for a geometry-optimized LiBCO2 structure.

Values from the calculation:
E_form (uncorrected): 0.21 eV/f.u.
space group: P4/mmm (123)
N(E_F): 0.300 states/eV per atom
total magnetic moment: 0.00 μB/f.u.
V: 7.79 Å³/atom

abc: 3.587 3.587 3.025
angles: 90.00 90.00 90.00
Positions (direct):
Li (0.000, 0.000, 0.000)
B (0.500, 0.500, 0.500)
C (0.500, 0.500, 0.000)
O (0.000, 0.500, 0.500)
O (0.500, 0.000, 0.500)


Record 2
A plane-wave DFT calculation with PBEsol was carried out for a geometry-optimized LiB12PC structure.

Values from the calculation:
E_form: -4.452 eV/f.u.
space group: Ima2 (46)
N(E_F): 0.000 states/eV per atom
total magnetic moment: 0.00 μB/f.u.
V: 7.87 Å³/atom

abc: 7.098 7.098 7.098
angles: 132.24 110.27 88.92
Positions (direct):
Li (0.064, 0.250, 0.314)
Li (0.936, 0.750, 0.686)
B (0.112, 0.287, 0.009)
B (0.112, 0.603, 0.325)
B (0.142, 0.332, 0.796)
B (0.142, 0.846, 0.310)
B (0.151, 0.674, 0.977)
B (0.277, 0.597, 0.180)
B (0.278, 0.103, 0.991)
B (0.278, 0.787, 0.675)
B (0.306, 0.840, 0.966)
B (0.417, 0.097, 0.820)
B (0.465, 0.170, 0.280)
B (0.465, 0.685, 0.794)
B (0.536, 0.346, 0.204)
B (0.536, 0.832, 0.690)
B (0.578, 0.919, 0.160)
B (0.696, 0.174, 0.023)
B (0.727, 0.230, 0.321)
B (0.727, 0.905, 0.996)
B (0.759, 0.419, 0.840)
B (0.873, 0.340, 0.034)
B (0.890, 0.185, 0.720)
B (0.890, 0.670, 0.206)
B (0.909, 0.405, 0.679)
B (0.909, 0.730, 0.004)
P (0.466, 0.335, 0.630)
P (0.705, 0.835, 0.370)
C (0.280, 0.153, 0.628)
C (0.525, 0.653, 0.372)


Record 3
A plane-wave DFT calculation with PBEsol was carried out for a geometry-optimized Lu3BC3 structure.

Values from the calculation:
E_form: -3.786 eV/f.u.
space group: Cmcm (63)
N(E_F): 0.136 states/eV per atom
total magnetic moment: 0.00 μB/f.u.
V: 13.50 Å³/atom

abc: 3.485 3.485 15.560
angles: 90.00 90.00 90.39
Positions (direct):
Lu (0.080, 0.920, 0.603)
Lu (0.080, 0.920, 0.897)
Lu (0.413, 0.587, 0.250)
Lu (0.587, 0.413, 0.750)
Lu (0.920, 0.080, 0.103)
Lu (0.920, 0.080, 0.397)
B (0.500, 0.500, 0.000)
B (0.500, 0.500, 0.500)
C (0.093, 0.907, 0.750)
C (0.410, 0.590, 0.089)
C (0.410, 0.590, 0.411)
C (0.590, 0.410, 0.589)
C (0.590, 0.410, 0.911)
C (0.907, 0.093, 0.250)


Record 4
A plane-wave DFT calculation with PBEsol was carried out for a geometry-optimized LuB2C2 structure.

Values from the calculation:
E_form: -2.416 eV/f.u.
space group: P4/mbm (127)
N(E_F): 0.163 states/eV per atom
total magnetic moment: 0.00 μB/f.u.
V: 9.43 Å³/atom

abc: 5.297 5.297 3.362
angles: 90.00 90.00 90.00
Positions (direct):
Lu (0.000, 0.000, 0.000)
Lu (0.500, 0.500, 0.000)
B (0.135, 0.365, 0.500)
B (0.365, 0.865, 0.500)
B (0.635, 0.135, 0.500)
B (0.865, 0.635, 0.500)
C (0.163, 0.663, 0.500)
C (0.337, 0.163, 0.500)
C (0.663, 0.837, 0.500)
C (0.837, 0.337, 0.500)


Copy entry 2 word for word.
A plane-wave DFT calculation with PBEsol was carried out for a geometry-optimized LiB12PC structure.

Values from the calculation:
E_form: -4.452 eV/f.u.
space group: Ima2 (46)
N(E_F): 0.000 states/eV per atom
total magnetic moment: 0.00 μB/f.u.
V: 7.87 Å³/atom

abc: 7.098 7.098 7.098
angles: 132.24 110.27 88.92
Positions (direct):
Li (0.064, 0.250, 0.314)
Li (0.936, 0.750, 0.686)
B (0.112, 0.287, 0.009)
B (0.112, 0.603, 0.325)
B (0.142, 0.332, 0.796)
B (0.142, 0.846, 0.310)
B (0.151, 0.674, 0.977)
B (0.277, 0.597, 0.180)
B (0.278, 0.103, 0.991)
B (0.278, 0.787, 0.675)
B (0.306, 0.840, 0.966)
B (0.417, 0.097, 0.820)
B (0.465, 0.170, 0.280)
B (0.465, 0.685, 0.794)
B (0.536, 0.346, 0.204)
B (0.536, 0.832, 0.690)
B (0.578, 0.919, 0.160)
B (0.696, 0.174, 0.023)
B (0.727, 0.230, 0.321)
B (0.727, 0.905, 0.996)
B (0.759, 0.419, 0.840)
B (0.873, 0.340, 0.034)
B (0.890, 0.185, 0.720)
B (0.890, 0.670, 0.206)
B (0.909, 0.405, 0.679)
B (0.909, 0.730, 0.004)
P (0.466, 0.335, 0.630)
P (0.705, 0.835, 0.370)
C (0.280, 0.153, 0.628)
C (0.525, 0.653, 0.372)


What is the total magnetic moment in the second record?
0.00 μB/f.u.